VASP calculation (GGA-PBE) on a relaxed NbV4Ru5 crystal.

Computed properties:
DOS at the Fermi energy = 10.4 states/eV per cell
Magnetization = 0.00 μB/f.u.
Formation energy from the elements = -0.2609 eV/atom
Calculated volume = 142 Å³ per cell
SG = P4/mmm
Theoretical density = 9.38 g cm⁻³

Unit cell a=2.963 b=2.963 c=16.176 alpha=90.00 beta=90.00 gamma=90.00
Fractional positions:
V 0.000 0.000 0.404
V 0.000 0.000 0.596
Ru 0.500 0.500 0.690
Ru 0.500 0.500 0.310
V 0.000 0.000 0.209
Ru 0.500 0.500 0.500
Ru 0.500 0.500 0.125
Nb 0.000 0.000 0.000
V 0.000 0.000 0.791
Ru 0.500 0.500 0.875